First-principles (PBE) data for HfP2I2 after structural relaxation, as listed in the Alexandria database.

Unit cell a=6.073 b=6.073 c=5.581 alpha=57.04 beta=57.04 gamma=90.00
Site moments in Bohr magnetons follow the coordinates.
Positions (direct):
1 I 0.750 0.250 0.500  -0.03
2 I 0.250 0.750 0.500  -0.03
3 P 0.363 0.363 0.274  -0.01
4 P 0.637 0.637 0.726  -0.01
5 Hf 0.000 0.000 0.000  0.39

Distance to the lowest polymorph of the same formula   1.58 eV/f.u.
Spin magnetization   0.56 Bohr magnetons per cell
Volume   26.3 Å³/atom

First-principles (PBE) data for Hf2PI2 after structural relaxation, as listed in the Alexandria database.

Unit cell a=3.916 b=3.916 c=11.088 alpha=79.83 beta=79.83 gamma=60.00
Positions (direct):
1 Hf 0.630 0.630 0.109
2 Hf 0.370 0.370 0.891
3 P 0.000 0.000 0.000
4 I 0.235 0.235 0.296
5 I 0.765 0.765 0.704

VASP energy   -6.697 eV per atom
Spin magnetization   0.00 Bohr magnetons per cell
Volume   28.8 Å³/atom

First-principles (PBE) data for HfP2I after structural relaxation, as listed in the Alexandria database.

Unit cell a=4.793 b=4.793 c=4.793 alpha=60.00 beta=60.00 gamma=60.00
Positions (direct):
1 I 0.000 0.000 0.000
2 P 0.250 0.250 0.250
3 P 0.750 0.750 0.750
4 Hf 0.500 0.500 0.500

Distance to the lowest polymorph of the same formula   0.66 eV/f.u.
Spin magnetization   0.00 Bohr magnetons per cell
Volume   19.5 Å³/atom

First-principles (PBE) data for HfP2I2 after structural relaxation, as listed in the Alexandria database.

Unit cell a=6.771 b=6.771 c=5.311 alpha=90.00 beta=90.00 gamma=90.00
Positions (direct):
1 I 0.195 0.695 0.500
2 I 0.695 0.805 0.500
3 I 0.805 0.305 0.500
4 I 0.305 0.195 0.500
5 P 0.389 0.889 0.000
6 P 0.889 0.611 0.000
7 P 0.611 0.111 0.000
8 P 0.111 0.389 0.000
9 Hf 0.000 0.000 0.000
10 Hf 0.500 0.500 0.000

Distance to the lowest polymorph of the same formula   0.00 eV/f.u.
Spin magnetization   0.00 Bohr magnetons per cell
Volume   24.4 Å³/atom

First-principles (PBE) data for Hf3PI after structural relaxation, as listed in the Alexandria database.

Unit cell a=4.908 b=4.908 c=4.908 alpha=90.00 beta=90.00 gamma=90.00
Positions (direct):
1 I 0.500 0.500 0.500
2 P 0.000 0.000 0.000
3 Hf 0.000 0.500 0.000
4 Hf 0.000 0.000 0.500
5 Hf 0.500 0.000 0.000

Distance to the lowest polymorph of the same formula   0.00 eV/f.u.
Spin magnetization   0.00 Bohr magnetons per cell
Volume   23.6 Å³/atom

First-principles (PBE) data for HfPI3 after structural relaxation, as listed in the Alexandria database.

Unit cell a=5.445 b=5.445 c=5.445 alpha=90.00 beta=90.00 gamma=90.00
Site moments in Bohr magnetons follow the coordinates.
Positions (direct):
1 I 0.000 0.500 0.000  -0.02
2 I 0.000 0.000 0.500  0.00
3 I 0.500 0.000 0.000  -0.02
4 P 0.000 0.000 0.000  -0.01
5 Hf 0.500 0.500 0.500  1.19

Distance to the lowest polymorph of the same formula   3.00 eV/f.u.
Spin magnetization   1.90 Bohr magnetons per cell
Volume   32.3 Å³/atom

First-principles (PBE) data for HfPI2 after structural relaxation, as listed in the Alexandria database.

Unit cell a=10.636 b=10.636 c=7.924 alpha=47.85 beta=47.85 gamma=90.00
Positions (direct):
1 I 0.779 0.125 0.250
2 I 0.971 0.625 0.250
3 I 0.375 0.221 0.750
4 I 0.875 0.029 0.750
5 P 0.500 0.500 0.000
6 P 0.250 0.750 0.500
7 Hf 0.000 0.000 0.000
8 Hf 0.750 0.250 0.500

Distance to the lowest polymorph of the same formula   0.00 eV/f.u.
Spin magnetization   0.00 Bohr magnetons per cell
Volume   35.3 Å³/atom

First-principles (PBE) data for HfPI3 after structural relaxation, as listed in the Alexandria database.

Unit cell a=5.710 b=5.710 c=5.710 alpha=90.00 beta=90.00 gamma=90.00
Site moments in Bohr magnetons follow the coordinates.
Positions (direct):
1 I 0.000 0.500 0.000  0.02
2 I 0.000 0.000 0.500  0.05
3 I 0.500 0.000 0.000  0.03
4 P 0.500 0.500 0.500  1.16
5 Hf 0.000 0.000 0.000  0.01

Distance to the lowest polymorph of the same formula   0.00 eV/f.u.
Spin magnetization   2.92 Bohr magnetons per cell
Volume   37.2 Å³/atom